# 1
SiB2Te: single point on PBEsol structure, SCAN.

Energy above the lowest structure with this stoichiometry (meV/atom): 0
Energy (eV/cell): -244.79
Magnetic moment (μB per formula unit): 0.00
Calculated density (g cm⁻³): 4.82
Formation energy (no corrections) (meV/atom): 232

Cell: 4.959 4.959 9.942 Å, 90.00 90.00 90.00°
Space group I-42d (No. 122)
Inequivalent atoms, fractional coordinates:
Si 0.000 0.000 0.000
B 0.213 0.250 0.125
Te 0.000 0.000 0.500

# 2
CdHgRu2: single point on PBEsol structure, SCAN.

Energy above the lowest structure with this stoichiometry (meV/atom): 173
Energy (eV/cell): -332.50
N(E_F) (states/eV/cell): 6.124
Formation energy (kJ/mol of formula units): 191
Magnetic moment (μB per formula unit): 1.71
Calculated density (g cm⁻³): 12.88

Cell: 2.860 4.760 9.758 Å, 90.00 90.00 90.00°
Space group Imm2 (No. 44)
Inequivalent atoms, fractional coordinates:
Cd 0.000 0.000 0.000
Hg 0.000 0.500 0.776
Ru 0.000 0.000 0.534
Ru 0.000 0.500 0.243

# 3
BaCuSI2: single point on PBEsol structure, SCAN.

Energy (eV/cell): -138.26
N(E_F) (states/eV/cell): 5.334
Magnetic moment (μB per formula unit): 0.00
Calculated density (g cm⁻³): 4.52
Formation energy (no corrections) (meV/atom): -80

Cell: 5.495 5.495 5.924 Å, 90.00 90.00 90.00°
Space group P4/mmm (No. 123)
Inequivalent atoms, fractional coordinates:
Ba 0.000 0.000 0.000
Cu 0.500 0.500 0.000
S 0.000 0.000 0.500
I 0.000 0.500 0.500